# 1
VASP calculation (GGA-PBE) on crystalline FeAgRh2 at its relaxed geometry.

Cell: 2.711 2.711 8.965 Å, 90.00 90.00 115.07°
Element x y z (fractional)
Ag  0.500  0.500  0.250
Rh  0.000  0.000  0.977
Fe  0.500  0.500  0.750
Rh  0.000  0.000  0.523

Results
Uncorrected energy, eV/atom: -6.357
Energy of formation, eV per atom: 0.15
Magnetization, μB/atom: 1.0898
Volume, Å³/atom: 14.922
Fermi-level density of states, states/eV/cell: 3.36

# 2
VASP calculation (GGA-PBE) on crystalline Fe2AgRh at its relaxed geometry.

Cell: 3.760 2.755 6.177 Å, 63.43 90.00 90.00°
Element x y z (fractional)
Fe  0.000  0.530  0.470
Ag  0.500  0.750  0.750
Fe  0.000  0.970  0.030
Rh  0.500  0.250  0.250

Results
Uncorrected energy, eV/atom: -6.591
Energy of formation, eV per atom: 0.19
Magnetization, μB/atom: 1.5775
Volume, Å³/atom: 14.304
Fermi-level density of states, states/eV/cell: 4.55

# 3
VASP calculation (GGA-PBE) on crystalline FeAgRh2 at its relaxed geometry.

Cell: 4.677 4.677 2.822 Å, 90.00 90.00 106.98°
Element x y z (fractional)
Fe  0.000  0.500  0.500
Ag  0.500  0.000  0.500
Rh  0.000  0.000  0.000
Rh  0.500  0.500  0.000

Results
Uncorrected energy, eV/atom: -6.268
Energy of formation, eV per atom: 0.24
Magnetization, μB/atom: 1.1868
Volume, Å³/atom: 14.761
Fermi-level density of states, states/eV/cell: 4.21

# 4
VASP calculation (GGA-PBE) on crystalline FeAgRh2 at its relaxed geometry.

Cell: 4.794 4.794 4.794 Å, 132.39 132.39 69.61°
Element x y z (fractional)
Rh  0.250  0.750  0.500
Rh  0.000  0.000  0.000
Fe  0.750  0.250  0.500
Ag  0.500  0.500  0.000

Results
Uncorrected energy, eV/atom: -6.280
Energy of formation, eV per atom: 0.22
Magnetization, μB/atom: 1.1598
Volume, Å³/atom: 14.737
Fermi-level density of states, states/eV/cell: 5.82